MnSb2HO: optimized geometry, PBE+U.

Values from the calculation:
Its uncorrected energy is -4.1354 eV per atom. Its total magnetic moment is 0.0 μB per cell.

a b c (Å): 5.122 5.122 3.411
angles (deg): 90.00 90.00 90.00
Space group P4/mmm (No. 123)
Asymmetric unit:
Mn (0.000, 0.000, 0.000) [1 per cell]
Sb (0.000, 0.500, 0.000) [2 per cell]
H (0.500, 0.500, 0.500) [1 per cell]
O (0.000, 0.000, 0.500) [1 per cell]